The following is a DFT calculation (PBE+U) of a geometry-optimized CaTlWO4 structure.

The space group is P2_1/m (No. 11) and the conventional cell measures 6.6966, 6.1022 and 7.5403 Å, with angles of 90.00, 98.04 and 90.00 degrees. The inequivalent atoms are Ca at (0.1371, 0.2500, 0.0821), Tl at (0.2462, 0.2500, 0.6191), W at (0.3494, 0.7500, 0.9001), O at (0.1359, 0.5266, 0.8623), O at (0.4560, 0.7500, 0.1357) and O at (0.4628, 0.2500, 0.2566).

The value obtained for the total DFT energy (no corrections) is -6.37 eV/atom. The calculation puts the spin magnetization at 1.00 μB per formula unit. For the calculated density, the calculation gives 5.36 Mg/m³.